Density functional theory data (PBE) for TlCrCl2 after structural relaxation.

Cell lengths 8.5197, 8.5197, 8.5197 Å; angles 32.27, 32.27, 32.27 degrees
Closest atoms and distances in Å follow each position.
Sites, in units of the cell vectors:
Tl 0.0000 0.0000 0.0000  6 Cl 3.23
Cr 0.5000 0.5000 0.5000  2 Cl 2.31
Cl 0.4046 0.4046 0.4046  1 Cr 2.31
Cl 0.5954 0.5954 0.5954  1 Cr 2.31

Summary:
Formation energy without anion corrections in meV/atom: -498
Fermi-level density of states in states/eV/f.u.: 0.00
Offset from the most stable computed form in meV/atom: 105
Raw total energy in eV/atom: -4.418
Calculated density in Mg/m³: 3.47

Density functional theory data (PBE) for TlCrCl2 after structural relaxation.

Cell lengths 9.0993, 9.0993, 9.0993 Å; angles 23.16, 23.16, 23.16 degrees
Closest atoms and distances in Å follow each position.
Sites, in units of the cell vectors:
Tl 0.0000 0.0000 0.0000  6 Cl 3.63-3.68, 6 Tl 3.65
Cr 0.8326 0.8326 0.8326  6 Cl 2.55-2.56
Cl 0.2197 0.2197 0.2197  3 Cr 2.55
Cl 0.4448 0.4448 0.4448  3 Cr 2.56

Summary:
Formation energy without anion corrections in meV/atom: -598
Fermi-level density of states in states/eV/f.u.: 5.32
Offset from the most stable computed form in meV/atom: 5
Raw total energy in eV/atom: -4.519
Calculated density in Mg/m³: 5.31

Which of these has the lowest raw total energy? number 2